P | Re2SbO2: optimized geometry, PBE.

Output
magnetic moment: 0.0 μB/f.u.

Unit cell a=3.402 b=3.402 c=11.308 alpha=90.00 beta=90.00 gamma=90.00
Space group I4/mmm (No. 139)
Asymmetric unit:
Re (0.000, 0.000, 0.130) (multiplicity 4)
Sb (0.000, 0.000, 0.500) (multiplicity 2)
O (0.000, 0.500, 0.250) (multiplicity 4)


Q | Re2SbO2: optimized geometry, PBE.

Output
magnetic moment: 0.0 μB/f.u.

Unit cell a=7.295 b=7.295 c=2.746 alpha=90.00 beta=90.00 gamma=90.00
Space group P4/mbm (No. 127)
Asymmetric unit:
Re (0.121, 0.379, 0.000) (multiplicity 4)
Sb (0.000, 0.000, 0.000) (multiplicity 2)
O (0.116, 0.616, 0.500) (multiplicity 4)


Energetically preferred structure: P | next structure: +0.419 eV/atom


P | Re2Sb2O: optimized geometry, PBE.

Output
magnetic moment: 0.0 μB/f.u.

Unit cell a=7.252 b=7.252 c=3.358 alpha=90.00 beta=90.00 gamma=90.00
Space group P4/mbm (No. 127)
Asymmetric unit:
Re (0.142, 0.358, 0.000) (multiplicity 4)
Sb (0.157, 0.657, 0.500) (multiplicity 4)
O (0.000, 0.000, 0.000) (multiplicity 2)


Q | Re2Sb2O: optimized geometry, PBE.

Output
magnetic moment: 0.3 μB/f.u.

Unit cell a=5.500 b=5.500 c=6.377 alpha=90.00 beta=90.00 gamma=90.00
Space group I4/mmm (No. 139)
Asymmetric unit:
Re (0.000, 0.000, 0.185) (multiplicity 4)
Sb (0.000, 0.500, 0.250) (multiplicity 4)
O (0.000, 0.000, 0.500) (multiplicity 2)


Energetically preferred structure: Q | next structure: +0.406 eV/atom


P | ReSbTe2O: optimized geometry, PBE.

Output
magnetic moment: 0.0 μB/f.u.

Unit cell a=5.115 b=5.115 c=5.251 alpha=90.00 beta=90.00 gamma=90.00
Space group P4/mmm (No. 123)
Asymmetric unit:
Re (0.000, 0.000, 0.000) (multiplicity 1)
Sb (0.000, 0.000, 0.500) (multiplicity 1)
Te (0.000, 0.500, 0.000) (multiplicity 2)
O (0.500, 0.500, 0.500) (multiplicity 1)


Q | ReSbTe2O: optimized geometry, PBE.

Output
magnetic moment: 0.0 μB/f.u.

Unit cell a=4.672 b=4.672 c=4.587 alpha=90.00 beta=90.00 gamma=90.00
Space group P4/mmm (No. 123)
Asymmetric unit:
Re (0.000, 0.000, 0.000) (multiplicity 1)
Sb (0.500, 0.500, 0.000) (multiplicity 1)
Te (0.000, 0.500, 0.500) (multiplicity 2)
O (0.500, 0.500, 0.500) (multiplicity 1)


Energetically preferred structure: Q | next structure: +0.213 eV/atom


P | ReSb2TeO: optimized geometry, PBE.

Output
magnetic moment: 0.0 μB/f.u.

Unit cell a=5.169 b=5.169 c=5.056 alpha=90.00 beta=90.00 gamma=90.00
Space group P4/mmm (No. 123)
Asymmetric unit:
Re (0.000, 0.000, 0.000) (multiplicity 1)
Sb (0.000, 0.500, 0.000) (multiplicity 2)
Te (0.000, 0.000, 0.500) (multiplicity 1)
O (0.500, 0.500, 0.500) (multiplicity 1)


Q | ReSb2TeO: optimized geometry, PBE.

Output
magnetic moment: 0.7 μB/f.u.

Unit cell a=4.579 b=4.579 c=4.730 alpha=90.00 beta=90.00 gamma=90.00
Space group P4/mmm (No. 123)
Asymmetric unit:
Re (0.000, 0.000, 0.000) (multiplicity 1)
Sb (0.000, 0.500, 0.500) (multiplicity 2)
Te (0.500, 0.500, 0.000) (multiplicity 1)
O (0.500, 0.500, 0.500) (multiplicity 1)


Energetically preferred structure: Q | next structure: +0.258 eV/atom


P | Sc3ReO: optimized geometry, PBE.

Output
magnetic moment: 0.0 μB/f.u.

Unit cell a=4.335 b=4.335 c=4.335 alpha=90.00 beta=90.00 gamma=90.00
Space group Pm-3m (No. 221)
Asymmetric unit:
Sc (0.000, 0.000, 0.500) (multiplicity 3)
Re (0.500, 0.500, 0.500) (multiplicity 1)
O (0.000, 0.000, 0.000) (multiplicity 1)


Q | Sc3ReO: optimized geometry, PBE.

Output
magnetic moment: 0.0 μB/f.u.

Unit cell a=5.002 b=5.002 c=5.002 alpha=90.00 beta=90.00 gamma=90.00
Space group Pm-3m (No. 221)
Asymmetric unit:
Sc (0.000, 0.000, 0.500) (multiplicity 3)
Re (0.000, 0.000, 0.000) (multiplicity 1)
O (0.500, 0.500, 0.500) (multiplicity 1)


Energetically preferred structure: P | next structure: +1.677 eV/atom


P | Sc2Re2O: optimized geometry, PBE.

Output
magnetic moment: 0.0 μB/f.u.

Unit cell a=5.356 b=5.356 c=6.492 alpha=90.00 beta=90.00 gamma=90.00
Space group I4/mmm (No. 139)
Asymmetric unit:
Sc (0.000, 0.500, 0.250) (multiplicity 4)
Re (0.000, 0.000, 0.193) (multiplicity 4)
O (0.000, 0.000, 0.500) (multiplicity 2)


Q | Sc2Re2O: optimized geometry, PBE.

Output
magnetic moment: 0.0 μB/f.u.

Unit cell a=5.754 b=5.754 c=4.845 alpha=90.00 beta=90.00 gamma=90.00
Space group P4/mbm (No. 127)
Asymmetric unit:
Sc (0.166, 0.334, 0.000) (multiplicity 4)
Re (0.157, 0.657, 0.500) (multiplicity 4)
O (0.000, 0.000, 0.500) (multiplicity 2)


Energetically preferred structure: Q | next structure: +0.096 eV/atom


P | ReSe3O: optimized geometry, PBE.

Output
magnetic moment: 0.0 μB/f.u.

Unit cell a=4.342 b=4.342 c=4.342 alpha=90.00 beta=90.00 gamma=90.00
Space group Pm-3m (No. 221)
Asymmetric unit:
Re (0.000, 0.000, 0.000) (multiplicity 1)
Se (0.000, 0.500, 0.500) (multiplicity 3)
O (0.500, 0.500, 0.500) (multiplicity 1)


Q | ReSe3O: optimized geometry, PBE.

Output
magnetic moment: 0.0 μB/f.u.

Unit cell a=4.817 b=4.817 c=4.817 alpha=90.00 beta=90.00 gamma=90.00
Space group Pm-3m (No. 221)
Asymmetric unit:
Re (0.000, 0.000, 0.000) (multiplicity 1)
Se (0.000, 0.000, 0.500) (multiplicity 3)
O (0.500, 0.500, 0.500) (multiplicity 1)


Energetically preferred structure: Q | next structure: +0.135 eV/atom


P | ReSe2O: optimized geometry, PBE.

Output
magnetic moment: 2.1 μB/f.u.

Unit cell a=6.160 b=6.160 c=6.160 alpha=90.00 beta=90.00 gamma=90.00
Space group Fm-3m (No. 225)
Asymmetric unit:
Re (0.000, 0.000, 0.000) (multiplicity 4)
Se (0.250, 0.250, 0.250) (multiplicity 8)
O (0.000, 0.000, 0.500) (multiplicity 4)


Q | ReSe2O: optimized geometry, PBE.

Output
magnetic moment: 0.0 μB/f.u.

Unit cell a=5.620 b=5.620 c=10.067 alpha=90.00 beta=90.00 gamma=90.00
Space group I-42d (No. 122)
Asymmetric unit:
Re (0.000, 0.000, 0.000) (multiplicity 4)
Se (0.243, 0.250, 0.625) (multiplicity 8)
O (0.000, 0.000, 0.500) (multiplicity 4)


R | ReSe2O: optimized geometry, PBE.

Output
magnetic moment: 0.0 μB/f.u.

Unit cell a=2.8962 b=2.8962 c=25.1729 alpha=90.00 beta=90.00 gamma=120.00
Space group R-3m (No. 166, hexagonal axes)
Asymmetric unit:
Re (0.0000, 0.0000, 0.0000) (multiplicity 3)
Se (0.0000, 0.0000, 0.0984) (multiplicity 6)
O (0.0000, 0.0000, 0.5000) (multiplicity 3)


Energetically preferred structure: Q | next structure: +0.160 eV/atom


P | Re2SiO: optimized geometry, PBE.

Output
magnetic moment: 0.0 μB/f.u.

Unit cell a=5.408 b=5.408 c=8.404 alpha=90.00 beta=90.00 gamma=90.00
Space group I-42d (No. 122)
Asymmetric unit:
Re (0.188, 0.250, 0.125) (multiplicity 8)
Si (0.000, 0.000, 0.500) (multiplicity 4)
O (0.000, 0.000, 0.000) (multiplicity 4)


Q | Re2SiO: optimized geometry, PBE.

Output
magnetic moment: 0.0 μB/f.u.

Unit cell a=5.832 b=5.832 c=5.832 alpha=90.00 beta=90.00 gamma=90.00
Space group Fm-3m (No. 225)
Asymmetric unit:
Re (0.250, 0.250, 0.250) (multiplicity 8)
Si (0.000, 0.000, 0.000) (multiplicity 4)
O (0.000, 0.000, 0.500) (multiplicity 4)


Energetically preferred structure: Q | next structure: +0.246 eV/atom


P | SmRe2O8: optimized geometry, PBE.

Output
magnetic moment: 0.8 μB/f.u.

Unit cell a=11.034 b=6.148 c=5.944 alpha=90.00 beta=105.13 gamma=90.00
Space group C2/m (No. 12)
Asymmetric unit:
Sm (0.000, 0.000, 0.000) (multiplicity 2)
Re (0.196, 0.000, 0.679) (multiplicity 4)
O (0.126, 0.214, 0.807) (multiplicity 8)
O (0.141, 0.500, 0.224) (multiplicity 4)
O (0.144, 0.000, 0.366) (multiplicity 4)


Q | SmRe2O8: optimized geometry, PBE.

Output
magnetic moment: 0.0 μB/f.u.

Unit cell a=9.694 b=9.694 c=9.694 alpha=90.00 beta=90.00 gamma=90.00
Space group Fm-3m (No. 225)
Asymmetric unit:
Sm (0.000, 0.000, 0.000) (multiplicity 4)
Re (0.250, 0.250, 0.250) (multiplicity 8)
O (0.145, 0.145, 0.145) (multiplicity 32)


Energetically preferred structure: Q | next structure: +0.163 eV/atom


P | SmReO4: optimized geometry, PBE.

Output
magnetic moment: 0.1 μB/f.u.

Unit cell a=8.014 b=5.582 c=7.646 alpha=90.00 beta=103.79 gamma=90.00
Space group P2_1/c (No. 14)
Asymmetric unit:
Sm (0.106, 0.250, 0.401) (multiplicity 4)
Re (0.336, 0.750, 0.209) (multiplicity 4)
O (0.136, 0.506, 0.159) (multiplicity 4)
O (0.137, 0.506, 0.659) (multiplicity 4)
O (0.327, 0.749, 0.957) (multiplicity 4)
O (0.500, 0.000, 0.249) (multiplicity 4)


Q | SmReO4: optimized geometry, PBE.

Output
magnetic moment: 2.0 μB/f.u.

Unit cell a=6.998 b=11.282 c=5.103 alpha=90.00 beta=129.22 gamma=90.00
Space group C2/c (No. 15)
Asymmetric unit:
Sm (0.000, 0.136, 0.250) (multiplicity 4)
Re (0.000, 0.408, 0.750) (multiplicity 4)
O (0.141, 0.293, 0.649) (multiplicity 8)
O (0.232, 0.470, 0.207) (multiplicity 8)


Energetically preferred structure: P | next structure: +0.096 eV/atom


P | Re2SnO: optimized geometry, PBE.

Output
magnetic moment: 0.0 μB/f.u.

Unit cell a=4.678 b=4.678 c=13.392 alpha=90.00 beta=90.00 gamma=90.00
Space group I-42d (No. 122)
Asymmetric unit:
Re (0.082, 0.250, 0.125) (multiplicity 8)
Sn (0.000, 0.000, 0.500) (multiplicity 4)
O (0.000, 0.000, 0.000) (multiplicity 4)


Q | Re2SnO: optimized geometry, PBE.

Output
magnetic moment: 0.0 μB/f.u.

Unit cell a=6.208 b=6.208 c=6.208 alpha=90.00 beta=90.00 gamma=90.00
Space group Fm-3m (No. 225)
Asymmetric unit:
Re (0.250, 0.250, 0.250) (multiplicity 8)
Sn (0.000, 0.000, 0.000) (multiplicity 4)
O (0.000, 0.000, 0.500) (multiplicity 4)


Energetically preferred structure: P | next structure: +0.548 eV/atom